DFT (PBE) results for KLiTiAu2 after structural relaxation.

Properties
calculated density = 5.8 g/cm3

```
data_KLiTiAu2
_symmetry_space_group_name_H-M 'P 4/m m m'
_symmetry_Int_Tables_number 123
_symmetry_space_group_name_Hall '-P 4 2'
_cell_length_a 5.1487
_cell_length_b 5.1487
_cell_length_c 5.3061
_cell_angle_alpha 90.00
_cell_angle_beta 90.00
_cell_angle_gamma 90.00
loop_
_atom_site_label
_atom_site_type_symbol
_atom_site_fract_x
_atom_site_fract_y
_atom_site_fract_z
K1 K 0.0000 0.0000 0.0000
Li1 Li 0.5000 0.5000 0.0000
Ti1 Ti 0.5000 0.5000 0.5000
Au1 Au 0.0000 0.5000 0.5000
```

DFT (PBE) results for KLiTl2Au after structural relaxation.

Properties
calculated density = 6.6 g/cm3
offset from the most stable computed form = 0 meV/atom

```
data_KLiTl2Au
_symmetry_space_group_name_H-M 'P 4/m m m'
_symmetry_Int_Tables_number 123
_symmetry_space_group_name_Hall '-P 4 2'
_cell_length_a 5.6201
_cell_length_b 5.6201
_cell_length_c 5.1887
_cell_angle_alpha 90.00
_cell_angle_beta 90.00
_cell_angle_gamma 90.00
loop_
_atom_site_label
_atom_site_type_symbol
_atom_site_fract_x
_atom_site_fract_y
_atom_site_fract_z
K1 K 0.0000 0.0000 0.0000
Li1 Li 0.5000 0.5000 0.0000
Tl1 Tl 0.0000 0.5000 0.5000
Au1 Au 0.5000 0.5000 0.5000
```

DFT (PBE) results for KLiTl2Au after structural relaxation.

Properties
calculated density = 7.7 g/cm3
offset from the most stable computed form = 25 meV/atom

```
data_KLiTl2Au
_symmetry_space_group_name_H-M 'P 4/m m m'
_symmetry_Int_Tables_number 123
_symmetry_space_group_name_Hall '-P 4 2'
_cell_length_a 5.2896
_cell_length_b 5.2896
_cell_length_c 5.0424
_cell_angle_alpha 90.00
_cell_angle_beta 90.00
_cell_angle_gamma 90.00
loop_
_atom_site_label
_atom_site_type_symbol
_atom_site_fract_x
_atom_site_fract_y
_atom_site_fract_z
K1 K 0.0000 0.0000 0.0000
Li1 Li 0.5000 0.5000 0.5000
Tl1 Tl 0.0000 0.5000 0.5000
Au1 Au 0.5000 0.5000 0.0000
```

DFT (PBE) results for K2LiWAu after structural relaxation.

Properties
calculated density = 4.3 g/cm3

```
data_K2LiWAu
_symmetry_space_group_name_H-M 'P 4/m m m'
_symmetry_Int_Tables_number 123
_symmetry_space_group_name_Hall '-P 4 2'
_cell_length_a 5.9341
_cell_length_b 5.9341
_cell_length_c 5.0903
_cell_angle_alpha 90.00
_cell_angle_beta 90.00
_cell_angle_gamma 90.00
loop_
_atom_site_label
_atom_site_type_symbol
_atom_site_fract_x
_atom_site_fract_y
_atom_site_fract_z
K1 K 0.0000 0.5000 0.0000
Li1 Li 0.0000 0.0000 0.0000
W1 W 0.0000 0.0000 0.5000
Au1 Au 0.5000 0.5000 0.5000
```

DFT (PBE) results for KLiZnAu2 after structural relaxation.

Properties
calculated density = 7.4 g/cm3

```
data_KLiZnAu2
_symmetry_space_group_name_H-M 'I -4 m 2'
_symmetry_Int_Tables_number 119
_symmetry_space_group_name_Hall 'I -4 -2'
_cell_length_a 4.4249
_cell_length_b 4.4249
_cell_length_c 11.6539
_cell_angle_alpha 90.00
_cell_angle_beta 90.00
_cell_angle_gamma 90.00
loop_
_atom_site_label
_atom_site_type_symbol
_atom_site_fract_x
_atom_site_fract_y
_atom_site_fract_z
K1 K 0.0000 0.0000 0.0000
Li1 Li 0.0000 0.5000 0.2500
Zn1 Zn 0.0000 0.5000 0.7500
Au1 Au 0.0000 0.0000 0.3787
```

DFT (PBE) results for K2LiZrAu after structural relaxation.

Properties
calculated density = 2.5 g/cm3

```
data_K2LiZrAu
_symmetry_space_group_name_H-M 'P 4/m m m'
_symmetry_Int_Tables_number 123
_symmetry_space_group_name_Hall '-P 4 2'
_cell_length_a 6.7539
_cell_length_b 6.7539
_cell_length_c 5.4090
_cell_angle_alpha 90.00
_cell_angle_beta 90.00
_cell_angle_gamma 90.00
loop_
_atom_site_label
_atom_site_type_symbol
_atom_site_fract_x
_atom_site_fract_y
_atom_site_fract_z
K1 K 0.0000 0.5000 0.0000
Li1 Li 0.0000 0.0000 0.5000
Zr1 Zr 0.0000 0.0000 0.0000
Au1 Au 0.5000 0.5000 0.5000
```

Values of M_tot, in order: 2.4; 0.0; 0.0; 5.0; 0.0; 4.0, all in Bohr magnetons per cell.
Values of DOS(E_F), in order: 3.474; 2.125; 3.242; 2.800; 1.119; 5.073, all in states/eV/f.u..
Values of formation energy, in order: 239.5; -84.8; -59.4; 1346.3; -345.9; 1141.0, all in meV per atom.